{
  "formula": "Cs2HfBI6",
  "functional": "PBE",
  "state": "optimized geometry",
  "total_magnetization_mub_per_cell": 1.00,
  "formation_energy_uncorrected_ev_per_atom": -0.568,
  "final_energy_ev_per_atom": -3.332,
  "cell": [[-4.072, 4.072, 6.416], [4.072, -4.072, 6.416], [4.072, 4.072, -6.416]],
  "species": ["Cs", "Cs", "Hf", "B", "I", "I", "I", "I", "I", "I"],
  "fractional_positions": [[0.250, 0.750, 0.500], [0.750, 0.250, 0.500], [0.000, 0.000, 0.000], [0.500, 0.500, 0.000], [0.226, 0.226, 0.000], [0.250, 0.250, 0.500], [0.250, 0.750, 0.000], [0.750, 0.250, 0.000], [0.750, 0.750, 0.500], [0.774, 0.774, 0.000]]
}

---

{
  "formula": "HfTe2IrRu",
  "functional": "PBE",
  "state": "optimized geometry",
  "total_magnetization_mub_per_cell": 0.00,
  "formation_energy_uncorrected_ev_per_atom": 0.821,
  "final_energy_ev_per_atom": -6.054,
  "cell": [[5.115, 0.000, 0.000], [0.000, 5.115, 0.000], [0.000, 0.000, 4.653]],
  "species": ["Hf", "Te", "Te", "Ir", "Ru"],
  "fractional_positions": [[0.000, 0.000, 0.000], [0.000, 0.500, 0.500], [0.500, 0.000, 0.500], [0.500, 0.500, 0.000], [0.500, 0.500, 0.500]]
}

---

{
  "formula": "NdSmDy3Y",
  "functional": "PBE",
  "state": "optimized geometry",
  "delta_e_f_ev_per_atom": 0.020,
  "total_magnetization_mub_per_cell": 0.00,
  "final_energy_ev_per_atom": -4.940,
  "cell": [[2.535, -7.609, 0.000], [2.535, 7.609, 0.000], [0.000, 0.000, 10.147]],
  "species": ["Nd", "Nd", "Sm", "Sm", "Dy", "Dy", "Dy", "Dy", "Dy", "Dy", "Y", "Y"],
  "fractional_positions": [[0.000, 0.000, 0.000], [0.000, 0.000, 0.500], [0.499, 0.501, 0.750], [0.501, 0.499, 0.250], [0.168, 0.832, 0.250], [0.332, 0.668, 0.000], [0.332, 0.668, 0.500], [0.668, 0.332, 0.000], [0.668, 0.332, 0.500], [0.832, 0.168, 0.750], [0.168, 0.832, 0.750], [0.832, 0.168, 0.250]]
}

---

{
  "formula": "InSn3Ir",
  "functional": "PBE",
  "state": "optimized geometry",
  "delta_e_f_ev_per_atom": 0.133,
  "total_magnetization_mub_per_cell": 0.00,
  "polymorph_energy_ev_per_atom": 0.240,
  "final_energy_ev_per_atom": -4.588,
  "cell": [[5.210, 0.000, 0.000], [0.000, 5.210, 0.000], [0.000, 0.000, 5.210]],
  "species": ["In", "Sn", "Sn", "Sn", "Ir"],
  "fractional_positions": [[0.000, 0.000, 0.000], [0.000, 0.500, 0.500], [0.500, 0.000, 0.500], [0.500, 0.500, 0.000], [0.500, 0.500, 0.500]]
}

---

{
  "formula": "Pm6CdSn3",
  "functional": "PBE",
  "state": "optimized geometry",
  "delta_e_f_ev_per_atom": -0.406,
  "total_magnetization_mub_per_cell": 0.00,
  "final_energy_ev_per_atom": -4.548,
  "cell": [[5.882, -7.902, 0.000], [5.882, 7.902, 0.000], [0.000, 0.000, 6.779]],
  "species": ["Pm", "Pm", "Pm", "Pm", "Pm", "Pm", "Pm", "Pm", "Pm", "Pm", "Pm", "Pm", "Cd", "Cd", "Sn", "Sn", "Sn", "Sn", "Sn", "Sn"],
  "fractional_positions": [[0.059, 0.476, 0.911], [0.066, 0.934, 0.500], [0.262, 0.334, 0.242], [0.283, 0.717, 0.288], [0.334, 0.262, 0.742], [0.476, 0.059, 0.411], [0.524, 0.941, 0.911], [0.666, 0.738, 0.242], [0.717, 0.283, 0.788], [0.738, 0.666, 0.742], [0.934, 0.066, 0.000], [0.941, 0.524, 0.411], [0.230, 0.770, 0.746], [0.770, 0.230, 0.246], [0.018, 0.241, 0.574], [0.241, 0.018, 0.074], [0.415, 0.585, 0.928], [0.585, 0.415, 0.428], [0.759, 0.982, 0.574], [0.982, 0.759, 0.074]]
}

---

{
  "formula": "La8PmPr4",
  "functional": "PBE",
  "state": "optimized geometry",
  "delta_e_f_ev_per_atom": 0.339,
  "total_magnetization_mub_per_cell": 0.00,
  "final_energy_ev_per_atom": -4.529,
  "cell": [[5.995, 3.461, 3.996], [-5.995, 3.461, 3.996], [0.000, -6.923, 3.996]],
  "species": ["La", "La", "La", "La", "La", "La", "La", "La", "Pm", "Pr", "Pr", "Pr", "Pr"],
  "fractional_positions": [[0.167, 0.167, 0.673], [0.167, 0.673, 0.167], [0.240, 0.240, 0.240], [0.327, 0.833, 0.833], [0.673, 0.167, 0.167], [0.760, 0.760, 0.760], [0.833, 0.327, 0.833], [0.833, 0.833, 0.327], [0.500, 0.500, 0.500], [0.000, 0.000, 0.000], [0.000, 0.500, 0.500], [0.500, 0.000, 0.500], [0.500, 0.500, 0.000]]
}

---

{
  "formula": "MoPbI2",
  "functional": "PBE",
  "state": "optimized geometry",
  "total_magnetization_mub_per_cell": 3.88,
  "polymorph_energy_ev_per_atom": 0.000,
  "formation_energy_uncorrected_ev_per_atom": 0.386,
  "final_energy_ev_per_atom": -4.023,
  "cell": [[-4.978, 4.978, 2.789], [4.978, -4.978, 2.789], [4.978, 4.978, -2.789]],
  "species": ["Mo", "Mo", "Pb", "Pb", "I", "I", "I", "I"],
  "fractional_positions": [[0.000, 0.000, 0.000], [0.750, 0.250, 0.500], [0.250, 0.750, 0.500], [0.500, 0.500, 0.000], [0.375, 0.236, 0.361], [0.764, 0.125, 0.139], [0.875, 0.014, 0.639], [0.986, 0.625, 0.861]]
}

---

{
  "formula": "Hf2PbS",
  "functional": "PBE",
  "state": "optimized geometry",
  "total_magnetization_mub_per_cell": 0.00,
  "polymorph_energy_ev_per_atom": 0.000,
  "formation_energy_uncorrected_ev_per_atom": -0.617,
  "final_energy_ev_per_atom": -7.553,
  "cell": [[1.834, 1.059, 7.162], [-1.834, 1.059, 7.162], [0.000, -2.117, 7.162]],
  "species": ["Hf", "Hf", "Pb", "S"],
  "fractional_positions": [[0.000, 0.000, 0.000], [0.208, 0.208, 0.208], [0.772, 0.772, 0.772], [0.603, 0.603, 0.603]]
}

---

{
  "formula": "LaPr6S8",
  "functional": "PBE",
  "state": "optimized geometry",
  "total_magnetization_mub_per_cell": 0.00,
  "formation_energy_uncorrected_ev_per_atom": -2.040,
  "final_energy_ev_per_atom": -6.481,
  "cell": [[0.000, 5.806, 5.806], [5.806, 0.000, 5.806], [5.806, 5.806, 0.000]],
  "species": ["La", "Pr", "Pr", "Pr", "Pr", "Pr", "Pr", "S", "S", "S", "S", "S", "S", "S", "S"],
  "fractional_positions": [[0.000, 0.000, 0.000], [0.000, 0.000, 0.500], [0.000, 0.500, 0.000], [0.000, 0.500, 0.500], [0.500, 0.000, 0.000], [0.500, 0.000, 0.500], [0.500, 0.500, 0.000], [0.250, 0.250, 0.250], [0.250, 0.250, 0.750], [0.250, 0.750, 0.250], [0.250, 0.750, 0.750], [0.750, 0.250, 0.250], [0.750, 0.250, 0.750], [0.750, 0.750, 0.250], [0.750, 0.750, 0.750]]
}

---

{
  "formula": "LiZnCu4",
  "functional": "PBE",
  "state": "optimized geometry",
  "delta_e_f_ev_per_atom": -0.076,
  "total_magnetization_mub_per_cell": 0.00,
  "polymorph_energy_ev_per_atom": 0.000,
  "final_energy_ev_per_atom": -3.338,
  "cell": [[4.963, 0.000, 0.000], [-2.282, 4.451, 0.000], [-0.615, -1.140, 6.737]],
  "species": ["Li", "Li", "Zn", "Zn", "Cu", "Cu", "Cu", "Cu", "Cu", "Cu", "Cu", "Cu"],
  "fractional_positions": [[0.181, 0.431, 0.225], [0.819, 0.569, 0.775], [0.319, 0.071, 0.779], [0.681, 0.929, 0.221], [0.020, 0.264, 0.558], [0.152, 0.900, 0.109], [0.345, 0.597, 0.889], [0.492, 0.235, 0.442], [0.508, 0.765, 0.558], [0.655, 0.403, 0.111], [0.848, 0.100, 0.891], [0.980, 0.736, 0.442]]
}

---

{
  "formula": "Sm5As",
  "functional": "PBE",
  "state": "optimized geometry",
  "delta_e_f_ev_per_atom": -0.258,
  "total_magnetization_mub_per_cell": 0.00,
  "final_energy_ev_per_atom": -4.965,
  "cell": [[2.352, -7.594, 0.000], [2.352, 7.594, 0.000], [0.000, 0.000, 4.881]],
  "species": ["Sm", "Sm", "Sm", "Sm", "Sm", "As"],
  "fractional_positions": [[0.000, 0.000, 0.000], [0.153, 0.847, 0.500], [0.339, 0.661, 0.000], [0.661, 0.339, 0.000], [0.847, 0.153, 0.500], [0.500, 0.500, 0.500]]
}

---

{
  "formula": "KLiLa2",
  "functional": "PBE",
  "state": "optimized geometry",
  "delta_e_f_ev_per_atom": 0.515,
  "total_magnetization_mub_per_cell": 0.06,
  "polymorph_energy_ev_per_atom": 0.352,
  "final_energy_ev_per_atom": -2.701,
  "cell": [[0.000, 4.181, 4.181], [4.181, 0.000, 4.181], [4.181, 4.181, 0.000]],
  "species": ["K", "Li", "La", "La"],
  "fractional_positions": [[0.000, 0.000, 0.000], [0.500, 0.500, 0.500], [0.250, 0.250, 0.250], [0.750, 0.750, 0.750]]
}

---

{
  "formula": "LaTcPt",
  "functional": "PBE",
  "state": "optimized geometry",
  "delta_e_f_ev_per_atom": -0.050,
  "total_magnetization_mub_per_cell": 0.79,
  "polymorph_energy_ev_per_atom": 0.220,
  "final_energy_ev_per_atom": -7.161,
  "cell": [[-1.807, 1.807, 4.999], [1.807, -1.807, 4.999], [1.807, 1.807, -4.999]],
  "species": ["La", "Tc", "Pt"],
  "fractional_positions": [[0.000, 0.000, 0.000], [0.727, 0.727, 0.000], [0.303, 0.303, 0.000]]
}

---

{
  "formula": "TlNiBr2",
  "functional": "PBE",
  "state": "optimized geometry",
  "total_magnetization_mub_per_cell": 1.00,
  "polymorph_energy_ev_per_atom": 0.391,
  "formation_energy_uncorrected_ev_per_atom": 0.037,
  "final_energy_ev_per_atom": -2.836,
  "cell": [[3.523, 0.000, 0.000], [0.000, 3.523, 0.000], [0.000, 0.000, 7.887]],
  "species": ["Tl", "Ni", "Br", "Br"],
  "fractional_positions": [[0.000, 0.000, 0.000], [0.000, 0.000, 0.500], [0.500, 0.500, 0.296], [0.500, 0.500, 0.704]]
}

---

{
  "formula": "Be2CoCu",
  "functional": "PBE",
  "state": "optimized geometry",
  "delta_e_f_ev_per_atom": -0.052,
  "total_magnetization_mub_per_cell": 0.60,
  "final_energy_ev_per_atom": -4.716,
  "cell": [[1.232, 0.712, 7.376], [-1.232, 0.712, 7.376], [0.000, -1.423, 7.376]],
  "species": ["Be", "Be", "Co", "Cu"],
  "fractional_positions": [[0.247, 0.247, 0.247], [0.753, 0.753, 0.753], [0.500, 0.500, 0.500], [0.000, 0.000, 0.000]]
}

---

{
  "formula": "RuIBr2",
  "functional": "PBE",
  "state": "optimized geometry",
  "total_magnetization_mub_per_cell": 1.06,
  "polymorph_energy_ev_per_atom": 0.000,
  "formation_energy_uncorrected_ev_per_atom": -0.058,
  "final_energy_ev_per_atom": -3.600,
  "cell": [[7.012, -1.874, 0.000], [7.012, 1.874, 0.000], [-0.199, 0.000, 5.468]],
  "species": ["Ru", "I", "Br", "Br"],
  "fractional_positions": [[0.000, 0.000, 0.000], [0.000, 0.000, 0.500], [0.379, 0.379, 0.989], [0.621, 0.621, 0.011]]
}

---

{
  "formula": "Tl2AsS3",
  "functional": "PBE",
  "state": "optimized geometry",
  "total_magnetization_mub_per_cell": 0.00,
  "polymorph_energy_ev_per_atom": 0.000,
  "formation_energy_uncorrected_ev_per_atom": -0.172,
  "final_energy_ev_per_atom": -3.799,
  "cell": [[5.893, -4.159, 0.000], [5.893, 4.159, 0.000], [-0.494, 0.000, 6.608]],
  "species": ["Tl", "Tl", "Tl", "Tl", "As", "As", "S", "S", "S", "S", "S", "S"],
  "fractional_positions": [[0.005, 0.691, 0.795], [0.309, 0.995, 0.705], [0.691, 0.005, 0.295], [0.995, 0.309, 0.205], [0.428, 0.572, 0.250], [0.572, 0.428, 0.750], [0.162, 0.838, 0.250], [0.340, 0.366, 0.491], [0.366, 0.340, 0.991], [0.634, 0.660, 0.009], [0.660, 0.634, 0.509], [0.838, 0.162, 0.750]]
}

---

{
  "formula": "Pm4Mg3Al",
  "functional": "PBE",
  "state": "optimized geometry",
  "delta_e_f_ev_per_atom": -0.108,
  "total_magnetization_mub_per_cell": 0.00,
  "polymorph_energy_ev_per_atom": 0.073,
  "final_energy_ev_per_atom": -3.549,
  "cell": [[3.499, 0.000, 0.000], [0.000, 5.035, 0.000], [0.000, 0.000, 12.779]],
  "species": ["Pm", "Pm", "Pm", "Pm", "Mg", "Mg", "Mg", "Al"],
  "fractional_positions": [[0.000, 0.000, 0.000], [0.000, 0.500, 0.320], [0.500, 0.000, 0.484], [0.500, 0.500, 0.831], [0.000, 0.000, 0.722], [0.000, 0.500, 0.593], [0.500, 0.500, 0.098], [0.500, 0.000, 0.225]]
}

---

{
  "formula": "Si4MoIr",
  "functional": "PBE",
  "state": "optimized geometry",
  "total_magnetization_mub_per_cell": 0.00,
  "formation_energy_uncorrected_ev_per_atom": 0.408,
  "final_energy_ev_per_atom": -6.490,
  "cell": [[0.000, 3.433, 3.433], [3.433, 0.000, 3.433], [3.433, 3.433, 0.000]],
  "species": ["Si", "Si", "Si", "Si", "Mo", "Ir"],
  "fractional_positions": [[0.125, 0.125, 0.125], [0.125, 0.125, 0.625], [0.125, 0.625, 0.125], [0.625, 0.125, 0.125], [0.500, 0.500, 0.500], [0.750, 0.750, 0.750]]
}

---

{
  "formula": "Be2ReBiO8",
  "functional": "PBE",
  "state": "optimized geometry",
  "total_magnetization_mub_per_cell": 1.05,
  "formation_energy_uncorrected_ev_per_atom": -1.510,
  "final_energy_ev_per_atom": -6.798,
  "cell": [[4.099, -2.656, 0.000], [4.099, 2.656, 0.000], [-0.171, 0.000, 6.545]],
  "species": ["Be", "Be", "Re", "Bi", "O", "O", "O", "O", "O", "O", "O", "O"],
  "fractional_positions": [[0.153, 0.153, 0.238], [0.847, 0.847, 0.762], [0.500, 0.500, 0.000], [0.500, 0.500, 0.500], [0.216, 0.712, 0.785], [0.239, 0.239, 0.465], [0.286, 0.286, 0.065], [0.288, 0.784, 0.215], [0.712, 0.216, 0.785], [0.714, 0.714, 0.935], [0.761, 0.761, 0.535], [0.784, 0.288, 0.215]]
}